No. 1
This record from the Alexandria database describes Li7Sm3Au4 after structural relaxation. The functional is PBE.

Properties
* total magnetization: 0.00 μB per formula unit
* symmetry: C2/m
* formation energy: -464 meV per atom

a = 4.219 Å, b = 8.250 Å, c = 9.061 Å
α = 74.10°, β = 76.54°, γ = 75.18°
Sites, in units of the cell vectors:
Li: 0.325 0.845 0.505
Li: 0.482 0.224 0.813
Li: 0.834 0.400 0.932
Li: 0.675 0.155 0.495
Li: 0.166 0.600 0.068
Li: 0.000 0.000 0.000
Li: 0.518 0.776 0.187
Sm: 0.299 0.179 0.223
Sm: 0.701 0.821 0.777
Sm: 0.000 0.500 0.500
Au: 0.655 0.441 0.249
Au: 0.345 0.559 0.751
Au: 0.895 0.893 0.317
Au: 0.105 0.107 0.683

No. 2
This record from the Alexandria database describes MnZn2Ag after structural relaxation. The functional is PBE.

Properties
* total magnetization: 3.46 μB per formula unit
* symmetry: Cmm2
* formation energy: 98 meV per atom

a = 2.873 Å, b = 2.873 Å, c = 7.429 Å
α = 90.00°, β = 90.00°, γ = 89.88°
Each line ends with the local moment (μB).
Sites, in units of the cell vectors:
Ag: 0.000 0.000 0.499  0.00
Mn: 0.500 0.500 0.767  3.46
Zn: 0.000 0.000 0.996  -0.06
Zn: 0.500 0.500 0.238  -0.01